A relaxed structure of TcRh2I. Source: the Alexandria database, functional PBE-GGA.

Computed properties:
The polymorph energy (0 for the lowest one) comes out at 0 meV per atom. The calculation puts the magnetic moment at 0.00 μB per atom. As for the formation energy from raw total energies: 795 meV per atom.

Structure (POSCAR):
```
TcRh2I
1.0
6.161 0.000 0.000
0.000 6.161 0.000
0.000 0.000 10.041
Tc Rh I
4 8 4
direct
0.000 0.000 0.000 Tc
0.000 0.500 0.250 Tc
0.500 0.000 0.750 Tc
0.500 0.500 0.500 Tc
0.210 0.250 0.125 Rh
0.250 0.710 0.375 Rh
0.250 0.790 0.875 Rh
0.290 0.250 0.625 Rh
0.710 0.750 0.625 Rh
0.750 0.210 0.875 Rh
0.750 0.290 0.375 Rh
0.790 0.750 0.125 Rh
0.000 0.000 0.500 I
0.000 0.500 0.750 I
0.500 0.000 0.250 I
0.500 0.500 0.000 I
```